# AcPuI2, relaxed, DFT GGA-PBE
data_AcPuI2
_chemical_formula_sum 'Ac1 Pu1 I2'
_space_group_name_H-M_alt 'P 1'
_space_group_IT_number 1
_cell_length_a 11.693
_cell_length_b 11.693
_cell_length_c 11.693
_cell_angle_alpha 19.78
_cell_angle_beta 19.78
_cell_angle_gamma 19.78
loop_
_space_group_symop_operation_xyz
'x,y,z'
loop_
_atom_site_label
_atom_site_fract_x
_atom_site_fract_y
_atom_site_fract_z
Ac1 0.000 0.000 0.000
Pu1 0.500 0.500 0.500
I1 0.406 0.406 0.406
I2 0.594 0.594 0.594
# Fermi-level density of states, states/eV per cell: 14.824
# M_tot, μB/cell: 6.7
# Volume, Å³ per cell: 160
# Formation energy (no corrections), eV per atom: -0.604

# RbAcPuI6, relaxed, DFT GGA-PBE
data_RbAcPuI6
_chemical_formula_sum 'Rb2 Ac2 Pu2 I12'
_space_group_name_H-M_alt 'P 1'
_space_group_IT_number 1
_cell_length_a 8.336
_cell_length_b 8.336
_cell_length_c 16.249
_cell_angle_alpha 90.00
_cell_angle_beta 90.00
_cell_angle_gamma 120.00
loop_
_space_group_symop_operation_xyz
'x,y,z'
loop_
_atom_site_label
_atom_site_fract_x
_atom_site_fract_y
_atom_site_fract_z
Rb1 0.000 0.000 0.000
Rb2 0.000 0.000 0.500
Ac1 0.333 0.667 0.250
Ac2 0.667 0.333 0.750
Pu1 0.333 0.667 0.750
Pu2 0.667 0.333 0.250
I1 0.006 0.370 0.634
I2 0.006 0.636 0.866
I3 0.364 0.370 0.866
I4 0.364 0.994 0.634
I5 0.370 0.006 0.134
I6 0.370 0.364 0.366
I7 0.630 0.636 0.634
I8 0.630 0.994 0.866
I9 0.636 0.006 0.366
I10 0.636 0.630 0.134
I11 0.994 0.364 0.134
I12 0.994 0.630 0.366
# Fermi-level density of states, states/eV per cell: 42.426
# M_tot, μB/cell: 12.0
# Volume, Å³ per cell: 978
# Formation energy (no corrections), eV per atom: -1.359

# AcPuTeI, relaxed, DFT GGA-PBE
data_AcPuTeI
_chemical_formula_sum 'Ac1 Pu1 Te1 I1'
_space_group_name_H-M_alt 'P 1'
_space_group_IT_number 1
_cell_length_a 5.633
_cell_length_b 5.633
_cell_length_c 5.633
_cell_angle_alpha 60.00
_cell_angle_beta 60.00
_cell_angle_gamma 60.00
loop_
_space_group_symop_operation_xyz
'x,y,z'
loop_
_atom_site_label
_atom_site_fract_x
_atom_site_fract_y
_atom_site_fract_z
Ac1 0.000 0.000 0.000
Pu1 0.500 0.500 0.500
Te1 0.250 0.250 0.250
I1 0.750 0.750 0.750
# Fermi-level density of states, states/eV per cell: 10.553
# M_tot, μB/cell: 7.1
# Volume, Å³ per cell: 126
# Formation energy (no corrections), eV per atom: -0.911

# Rb3AcI6, relaxed, DFT GGA-PBE
data_Rb3AcI6
_chemical_formula_sum 'Rb6 Ac2 I12'
_space_group_name_H-M_alt 'P 1'
_space_group_IT_number 1
_cell_length_a 8.900
_cell_length_b 9.570
_cell_length_c 15.191
_cell_angle_alpha 90.00
_cell_angle_beta 123.31
_cell_angle_gamma 90.00
loop_
_space_group_symop_operation_xyz
'x,y,z'
loop_
_atom_site_label
_atom_site_fract_x
_atom_site_fract_y
_atom_site_fract_z
Rb1 0.000 0.000 0.000
Rb2 0.000 0.500 0.500
Rb3 0.204 0.084 0.738
Rb4 0.204 0.416 0.238
Rb5 0.796 0.584 0.762
Rb6 0.796 0.916 0.262
Ac1 0.500 0.000 0.500
Ac2 0.500 0.500 0.000
I1 0.144 0.180 0.439
I2 0.144 0.320 0.939
I3 0.249 0.717 0.417
I4 0.249 0.783 0.917
I5 0.410 0.065 0.264
I6 0.410 0.435 0.764
I7 0.590 0.565 0.236
I8 0.590 0.935 0.736
I9 0.751 0.217 0.083
I10 0.751 0.283 0.583
I11 0.856 0.680 0.061
I12 0.856 0.820 0.561
# Fermi-level density of states, states/eV per cell: 0.000
# M_tot, μB/cell: 0.0
# Volume, Å³ per cell: 1081
# Formation energy (no corrections), eV per atom: -1.531

# Rb2AcI, relaxed, DFT GGA-PBE
data_Rb2AcI
_chemical_formula_sum 'Rb2 Ac1 I1'
_space_group_name_H-M_alt 'P 1'
_space_group_IT_number 1
_cell_length_a 13.706
_cell_length_b 13.706
_cell_length_c 13.706
_cell_angle_alpha 18.06
_cell_angle_beta 18.06
_cell_angle_gamma 18.06
loop_
_space_group_symop_operation_xyz
'x,y,z'
loop_
_atom_site_label
_atom_site_fract_x
_atom_site_fract_y
_atom_site_fract_z
Rb1 0.103 0.103 0.103
Rb2 0.897 0.897 0.897
Ac1 0.000 0.000 0.000
I1 0.500 0.500 0.500
# Fermi-level density of states, states/eV per cell: 2.675
# M_tot, μB/cell: 0.0
# Volume, Å³ per cell: 216
# Formation energy (no corrections), eV per atom: -0.370

# Rb5Ac3I12, relaxed, DFT GGA-PBE
data_Rb5Ac3I12
_chemical_formula_sum 'Rb20 Ac12 I48'
_space_group_name_H-M_alt 'P 1'
_space_group_IT_number 1
_cell_length_a 18.802
_cell_length_b 18.802
_cell_length_c 18.802
_cell_angle_alpha 109.47
_cell_angle_beta 109.47
_cell_angle_gamma 109.47
loop_
_space_group_symop_operation_xyz
'x,y,z'
loop_
_atom_site_label
_atom_site_fract_x
_atom_site_fract_y
_atom_site_fract_z
Rb1 0.000 0.000 0.000
Rb2 0.000 0.000 0.500
Rb3 0.000 0.500 0.000
Rb4 0.000 0.500 0.500
Rb5 0.125 0.750 0.875
Rb6 0.125 0.875 0.250
Rb7 0.250 0.125 0.875
Rb8 0.250 0.625 0.375
Rb9 0.375 0.250 0.625
Rb10 0.375 0.625 0.750
Rb11 0.500 0.000 0.000
Rb12 0.500 0.000 0.500
Rb13 0.500 0.500 0.000
Rb14 0.500 0.500 0.500
Rb15 0.625 0.375 0.250
Rb16 0.625 0.750 0.375
Rb17 0.750 0.375 0.625
Rb18 0.750 0.875 0.125
Rb19 0.875 0.125 0.750
Rb20 0.875 0.250 0.125
Ac1 0.125 0.250 0.375
Ac2 0.125 0.375 0.750
Ac3 0.250 0.375 0.125
Ac4 0.250 0.875 0.625
Ac5 0.375 0.125 0.250
Ac6 0.375 0.750 0.125
Ac7 0.625 0.250 0.875
Ac8 0.625 0.875 0.750
Ac9 0.750 0.125 0.375
Ac10 0.750 0.625 0.875
Ac11 0.875 0.625 0.250
Ac12 0.875 0.750 0.625
I1 0.033 0.705 0.654
I2 0.033 0.828 0.379
I3 0.051 0.205 0.172
I4 0.051 0.346 0.879
I5 0.121 0.672 0.467
I6 0.121 0.949 0.654
I7 0.154 0.205 0.533
I8 0.154 0.449 0.621
I9 0.172 0.051 0.205
I10 0.172 0.621 0.967
I11 0.205 0.172 0.051
I12 0.205 0.533 0.154
I13 0.295 0.346 0.967
I14 0.295 0.449 0.328
I15 0.328 0.295 0.449
I16 0.328 0.533 0.879
I17 0.346 0.879 0.051
I18 0.346 0.967 0.295
I19 0.379 0.033 0.828
I20 0.379 0.846 0.551
I21 0.449 0.328 0.295
I22 0.449 0.621 0.154
I23 0.467 0.121 0.672
I24 0.467 0.846 0.795
I25 0.533 0.154 0.205
I26 0.533 0.879 0.328
I27 0.551 0.379 0.846
I28 0.551 0.672 0.705
I29 0.621 0.154 0.449
I30 0.621 0.967 0.172
I31 0.654 0.033 0.705
I32 0.654 0.121 0.949
I33 0.672 0.467 0.121
I34 0.672 0.705 0.551
I35 0.705 0.551 0.672
I36 0.705 0.654 0.033
I37 0.795 0.467 0.846
I38 0.795 0.828 0.949
I39 0.828 0.379 0.033
I40 0.828 0.949 0.795
I41 0.846 0.551 0.379
I42 0.846 0.795 0.467
I43 0.879 0.051 0.346
I44 0.879 0.328 0.533
I45 0.949 0.654 0.121
I46 0.949 0.795 0.828
I47 0.967 0.172 0.621
I48 0.967 0.295 0.346
# Fermi-level density of states, states/eV per cell: 21.934
# M_tot, μB/cell: 7.9
# Volume, Å³ per cell: 5116
# Formation energy (no corrections), eV per atom: -1.257

# RbAcI3, relaxed, DFT GGA-PBE
data_RbAcI3
_chemical_formula_sum 'Rb1 Ac1 I3'
_space_group_name_H-M_alt 'P 1'
_space_group_IT_number 1
_cell_length_a 6.516
_cell_length_b 6.516
_cell_length_c 6.516
_cell_angle_alpha 90.00
_cell_angle_beta 90.00
_cell_angle_gamma 90.00
loop_
_space_group_symop_operation_xyz
'x,y,z'
loop_
_atom_site_label
_atom_site_fract_x
_atom_site_fract_y
_atom_site_fract_z
Rb1 0.000 0.000 0.000
Ac1 0.500 0.500 0.500
I1 0.000 0.500 0.500
I2 0.500 0.000 0.500
I3 0.500 0.500 0.000
# Fermi-level density of states, states/eV per cell: 3.873
# M_tot, μB/cell: 0.0
# Volume, Å³ per cell: 277
# Formation energy (no corrections), eV per atom: -1.237

# Rb4AcI6, relaxed, DFT GGA-PBE
data_Rb4AcI6
_chemical_formula_sum 'Rb8 Ac2 I12'
_space_group_name_H-M_alt 'P 1'
_space_group_IT_number 1
_cell_length_a 10.189
_cell_length_b 10.189
_cell_length_c 10.814
_cell_angle_alpha 90.00
_cell_angle_beta 90.00
_cell_angle_gamma 90.00
loop_
_space_group_symop_operation_xyz
'x,y,z'
loop_
_atom_site_label
_atom_site_fract_x
_atom_site_fract_y
_atom_site_fract_z
Rb1 0.171 0.329 0.250
Rb2 0.171 0.329 0.750
Rb3 0.329 0.829 0.250
Rb4 0.329 0.829 0.750
Rb5 0.671 0.171 0.250
Rb6 0.671 0.171 0.750
Rb7 0.829 0.671 0.250
Rb8 0.829 0.671 0.750
Ac1 0.000 0.000 0.000
Ac2 0.500 0.500 0.500
I1 0.000 0.000 0.304
I2 0.000 0.000 0.696
I3 0.103 0.688 0.000
I4 0.188 0.603 0.500
I5 0.312 0.103 0.000
I6 0.397 0.188 0.500
I7 0.500 0.500 0.196
I8 0.500 0.500 0.804
I9 0.603 0.812 0.500
I10 0.688 0.897 0.000
I11 0.812 0.397 0.500
I12 0.897 0.312 0.000
# Fermi-level density of states, states/eV per cell: 13.241
# M_tot, μB/cell: 1.7
# Volume, Å³ per cell: 1123
# Formation energy (no corrections), eV per atom: -1.367

# RbAcI4, relaxed, DFT GGA-PBE
data_RbAcI4
_chemical_formula_sum 'Rb2 Ac2 I8'
_space_group_name_H-M_alt 'P 1'
_space_group_IT_number 1
_cell_length_a 9.616
_cell_length_b 9.616
_cell_length_c 8.183
_cell_angle_alpha 108.04
_cell_angle_beta 108.04
_cell_angle_gamma 110.04
loop_
_space_group_symop_operation_xyz
'x,y,z'
loop_
_atom_site_label
_atom_site_fract_x
_atom_site_fract_y
_atom_site_fract_z
Rb1 0.136 0.864 0.750
Rb2 0.864 0.136 0.250
Ac1 0.497 0.503 0.250
Ac2 0.503 0.497 0.750
I1 0.160 0.286 0.795
I2 0.231 0.557 0.429
I3 0.286 0.160 0.295
I4 0.443 0.769 0.071
I5 0.557 0.231 0.929
I6 0.714 0.840 0.705
I7 0.769 0.443 0.571
I8 0.840 0.714 0.205
# Fermi-level density of states, states/eV per cell: 0.000
# M_tot, μB/cell: 0.0
# Volume, Å³ per cell: 598
# Formation energy (no corrections), eV per atom: -1.511
# Energy relative to the lowest polymorph listed for this composition, eV per atom: 0.006

# RbAcI4, relaxed, DFT GGA-PBE
data_RbAcI4
_chemical_formula_sum 'Rb2 Ac2 I8'
_space_group_name_H-M_alt 'P 1'
_space_group_IT_number 1
_cell_length_a 10.584
_cell_length_b 10.584
_cell_length_c 10.584
_cell_angle_alpha 125.26
_cell_angle_beta 116.66
_cell_angle_gamma 88.51
loop_
_space_group_symop_operation_xyz
'x,y,z'
loop_
_atom_site_label
_atom_site_fract_x
_atom_site_fract_y
_atom_site_fract_z
Rb1 0.000 0.000 0.000
Rb2 0.500 0.000 0.500
Ac1 0.500 0.000 0.000
Ac2 0.500 0.500 0.500
I1 0.288 0.283 0.496
I2 0.288 0.792 0.004
I3 0.294 0.749 0.546
I4 0.297 0.251 0.046
I5 0.703 0.749 0.954
I6 0.706 0.251 0.454
I7 0.712 0.208 0.996
I8 0.712 0.717 0.504
# Fermi-level density of states, states/eV per cell: 0.000
# M_tot, μB/cell: 0.0
# Volume, Å³ per cell: 820
# Formation energy (no corrections), eV per atom: -1.516
# Energy relative to the lowest polymorph listed for this composition, eV per atom: 0.000

# Rb4AcI7, relaxed, DFT GGA-PBE
data_Rb4AcI7
_chemical_formula_sum 'Rb4 Ac1 I7'
_space_group_name_H-M_alt 'P 1'
_space_group_IT_number 1
_cell_length_a 14.330
_cell_length_b 14.330
_cell_length_c 8.210
_cell_angle_alpha 105.68
_cell_angle_beta 105.68
_cell_angle_gamma 25.91
loop_
_space_group_symop_operation_xyz
'x,y,z'
loop_
_atom_site_label
_atom_site_fract_x
_atom_site_fract_y
_atom_site_fract_z
Rb1 0.090 0.090 0.152
Rb2 0.218 0.218 0.722
Rb3 0.782 0.782 0.278
Rb4 0.910 0.910 0.848
Ac1 0.500 0.500 0.500
I1 0.000 0.000 0.500
I2 0.220 0.220 0.206
I3 0.390 0.390 0.569
I4 0.438 0.438 0.105
I5 0.562 0.562 0.895
I6 0.610 0.610 0.431
I7 0.780 0.780 0.794
# Fermi-level density of states, states/eV per cell: 0.000
# M_tot, μB/cell: 0.0
# Volume, Å³ per cell: 708
# Formation energy (no corrections), eV per atom: -1.448

# RbAcSnI6, relaxed, DFT GGA-PBE
data_RbAcSnI6
_chemical_formula_sum 'Rb2 Ac2 Sn2 I12'
_space_group_name_H-M_alt 'P 1'
_space_group_IT_number 1
_cell_length_a 8.380
_cell_length_b 8.380
_cell_length_c 16.088
_cell_angle_alpha 90.00
_cell_angle_beta 90.00
_cell_angle_gamma 120.00
loop_
_space_group_symop_operation_xyz
'x,y,z'
loop_
_atom_site_label
_atom_site_fract_x
_atom_site_fract_y
_atom_site_fract_z
Rb1 0.000 0.000 0.000
Rb2 0.000 0.000 0.500
Ac1 0.333 0.667 0.250
Ac2 0.667 0.333 0.750
Sn1 0.333 0.667 0.750
Sn2 0.667 0.333 0.250
I1 0.006 0.371 0.634
I2 0.006 0.635 0.866
I3 0.365 0.371 0.866
I4 0.365 0.994 0.634
I5 0.371 0.006 0.134
I6 0.371 0.365 0.366
I7 0.629 0.635 0.634
I8 0.629 0.994 0.866
I9 0.635 0.006 0.366
I10 0.635 0.629 0.134
I11 0.994 0.365 0.134
I12 0.994 0.629 0.366
# Fermi-level density of states, states/eV per cell: 0.000
# M_tot, μB/cell: 0.0
# Volume, Å³ per cell: 978
# Formation energy (no corrections), eV per atom: -1.196